Compound: SrLaSm4Se8
Source: Alexandria
Functional: PBE
Structure: optimized geometry

As for the density of states at the Fermi level: 4.4 states/eV/f.u. The value obtained for the energy relative to the elements, uncorrected is -1.824 eV per atom. The calculation puts the total energy at -5.64 eV per atom.

a b c (Å): 8.6807 8.6807 8.7753
angles (deg): 60.36 60.36 60.00
With the nearest neighbours (Å) after each atom.
Positions (direct):
Sr (0.3737, 0.3737, 0.8790)  4 Se 2.93-2.95
Se (0.7577, 0.7577, 0.7268)  4 Sm 2.85-3.01
Se (0.2415, 0.2415, 0.7308)  2 Sm 2.90, 1 Sr 2.93, 1 La 2.97
Se (0.2415, 0.7861, 0.7308)  2 Sm 2.90, 1 Sr 2.93, 1 La 2.97
Se (0.7861, 0.2415, 0.7308)  2 Sm 2.90, 1 Sr 2.93, 1 La 2.97
Se (0.7538, 0.7538, 0.2635)  3 Sm 2.82-3.00, 1 La 3.07
Se (0.7538, 0.2290, 0.2635)  3 Sm 2.82-3.00, 1 La 3.07
Se (0.2374, 0.2374, 0.2879)  3 Sm 2.91, 1 Sr 2.95
Se (0.2290, 0.7538, 0.2635)  3 Sm 2.82-3.00, 1 La 3.07
La (0.0015, 0.0015, 0.9954)  6 Se 2.97-3.07
Sm (0.6258, 0.6258, 0.1227)  4 Se 2.82-2.85
Sm (0.0016, 0.0016, 0.5018)  6 Se 2.90-3.01
Sm (0.0016, 0.4950, 0.5018)  6 Se 2.90-3.01
Sm (0.4950, 0.0016, 0.5018)  6 Se 2.90-3.01